MgSc3N after structural relaxation, computed with PBE-GGA.

Summary:
Mass density in g/cm3: 2.734
Excess energy over the best structure of this formula in the dataset in meV/atom: 239.4
Electronic total energy in eV/atom: -6.33

The structure in CIF format:
```
data_MgSc3N
_cell_length_a 3.6436
_cell_length_b 3.6436
_cell_length_c 18.2958
_cell_angle_alpha 90.00
_cell_angle_beta 90.00
_cell_angle_gamma 120.00
_space_group_name_H-M_alt 'P 63/m m c'
_space_group_IT_number 194
_space_group_name_Hall '-P 6c 2c'
loop_
_atom_site_label
_atom_site_fract_x
_atom_site_fract_y
_atom_site_fract_z
_atom_site_occupancy
Mg1 0.0000 0.0000 0.0000 1
Sc1 0.0000 0.0000 0.2500 1
Sc2 0.3333 0.6667 0.1282 1
N1 0.3333 0.6667 0.2500 1
```